# Ag8Sb

A relaxed Ag8Sb crystal (PBE-GGA, OQMD).

Geometry as POSCAR:
```
Ag8Sb
1.0
4.579 -2.002 0.000
4.579 2.002 0.000
-0.011 0.000 26.860
Ag Sb
16 2
Cartesian
4.991 0.000 23.539
7.787 0.000 5.241
6.900 0.000 2.412
5.033 0.000 6.211
6.944 0.000 19.579
2.203 0.000 7.281
8.666 0.000 25.441
4.115 0.000 20.650
5.941 0.000 26.383
3.207 0.000 0.477
1.389 0.000 4.298
1.361 0.000 21.619
4.157 0.000 3.321
0.482 0.000 1.419
7.758 0.000 22.563
2.247 0.000 24.448
0.523 0.000 18.772
8.625 0.000 8.088
```

# Ag124Sb

A relaxed Ag124Sb crystal (PBE-GGA, OQMD).

Geometry as POSCAR:
```
Ag124Sb
1.0
6.750 -12.730 -1.963
8.788 -5.240 10.334
-4.017 -11.632 7.750
Ag Sb
124 1
Cartesian
3.815 -13.490 14.459
5.266 -3.140 6.192
11.609 -16.697 8.246
9.062 -17.982 7.729
3.115 -3.602 1.678
8.114 -14.608 4.117
-2.407 -6.969 4.644
12.424 -14.368 6.693
3.259 -9.295 6.840
7.567 -9.728 2.966
3.653 -8.464 2.834
8.670 -18.810 11.738
5.563 -15.215 10.064
7.571 -9.083 9.420
3.398 -15.665 5.538
-1.053 -9.520 4.249
5.550 -15.888 3.600
8.263 -20.307 9.281
8.928 -11.615 9.031
1.116 -9.070 8.786
-3.200 -9.268 6.175
10.673 -13.327 4.631
2.061 -12.448 12.400
1.641 -14.619 3.472
5.001 -11.009 2.449
4.353 -19.036 9.159
1.656 -13.949 9.943
0.957 -3.382 3.625
2.186 -19.478 4.627
6.353 -13.563 2.065
5.959 -14.387 6.057
6.772 -11.395 10.976
0.548 -4.884 1.160
5.013 -10.346 8.907
1.504 -8.245 4.773
-0.255 -7.200 2.707
2.863 -10.124 10.852
10.274 -14.153 8.640
4.619 -11.171 12.916
0.838 -16.943 5.021
2.852 -10.792 4.382
5.379 -10.143 -1.564
7.002 -4.175 8.234
-1.828 -11.855 5.776
7.971 -8.242 5.405
3.807 -14.168 7.998
3.951 -20.519 6.700
1.372 -2.587 -0.399
2.706 -5.103 -0.787
6.618 -5.691 5.797
5.169 -16.039 14.055
4.609 -11.840 6.448
5.416 -8.853 11.370
9.470 -16.482 10.191
7.869 -21.138 13.287
-0.505 -14.404 5.409
5.813 -8.023 7.351
4.060 -6.969 5.288
1.093 -9.743 2.314
6.762 -12.059 4.510
-1.414 -10.333 8.275
7.169 -10.566 6.962
4.460 -5.471 7.745
3.523 -2.100 4.142
0.709 -10.571 6.321
0.299 -12.072 3.857
2.711 -4.424 5.684
1.248 -15.449 7.481
2.989 -17.162 3.080
6.214 -7.187 3.348
3.408 -14.994 12.003
6.509 -19.256 7.214
5.709 -21.579 8.770
6.366 -12.890 8.515
7.165 -11.208 0.536
-1.610 -4.662 3.106
2.435 -12.290 1.930
2.594 -17.987 7.090
8.921 -12.279 2.573
8.124 -13.937 10.582
7.323 -16.263 12.128
4.562 -12.507 0.011
1.908 -6.748 7.232
4.760 -17.543 11.610
4.866 -4.643 3.740
1.786 -1.065 2.100
1.896 -7.419 0.766
7.309 -16.933 5.663
11.080 -11.831 7.088
6.111 -20.087 11.222
5.156 -16.712 7.606
-0.816 -2.364 1.575
2.306 -5.923 3.226
4.213 -12.669 10.458
9.324 -10.783 5.023
3.787 -14.842 1.537
9.866 -15.653 6.177
4.199 -13.339 3.993
4.459 -6.140 1.283
3.656 -7.802 9.298
2.460 -11.620 8.392
3.002 -16.494 9.548
9.733 -9.294 7.475
6.913 -17.762 9.673
8.520 -13.108 6.572
7.715 -15.434 8.122
3.239 -9.958 0.377
4.750 -18.207 5.145
7.462 -22.633 10.832
5.411 -9.515 4.899
6.521 -18.593 13.672
8.374 -6.762 7.835
5.806 -8.677 0.895
-0.087 -12.905 7.875
2.052 -13.120 5.929
10.814 -19.031 9.800
6.186 -6.539 9.809
10.018 -21.357 11.348
0.312 -11.401 10.340
-0.645 -8.019 6.714
4.045 -7.628 -1.176
9.217 -23.679 12.895
5.972 -13.714 12.521
0.152 -5.701 5.168
0.000 0.000 0.000
```

Number 1: calculated volume 492.5 Å³ per cell, E_tot -52.44 eV per cell. Number 2: calculated volume 2174.7 Å³ per cell, E_tot -353.80 eV per cell.